DFT (SCAN) results for a PBEsol-optimized structure of Ba4Ti2PtO10.

It has space group Cmce (No. 64), with a = 5.765 Å, b = 13.356 Å, c = 13.078 Å, α = 90.00°, β = 90.00° and γ = 90.00°. The distinct sites, in fractional coordinates, are Ba at (0.000, 0.030, 0.141), Ba at (0.000, 0.235, 0.394), Ti at (0.000, 0.137, 0.655), Pt at (0.000, 0.000, 0.500), O at (0.000, 0.035, 0.349), O at (0.000, 0.229, 0.151), O at (0.226, 0.110, 0.537) and O at (0.250, 0.123, 0.750).

The value obtained for the formation energy (no corrections) is -2.892 eV/atom.